# 1
VASP calculation (PBE) on a relaxed structure of RbO2F6.

* electronic total energy: -3.0050 eV per atom
* SG: C2/c (15)

Cell: 7.969 7.969 7.734 Å, 118.14 88.07 125.10°
Fractional coordinates of all 18 atoms:
Rb: 0.467 0.217 0.250
Rb: 0.533 0.783 0.750
O: 0.713 0.441 0.885
O: 0.056 0.828 0.615
O: 0.287 0.559 0.115
O: 0.944 0.172 0.385
F: 0.749 0.310 0.988
F: 0.822 0.761 0.512
F: 0.251 0.690 0.012
F: 0.178 0.239 0.488
F: 0.610 0.450 0.695
F: 0.255 0.915 0.805
F: 0.390 0.550 0.305
F: 0.745 0.085 0.195
F: 0.842 0.688 0.055
F: 0.133 0.787 0.445
F: 0.158 0.312 0.945
F: 0.867 0.213 0.555

# 2
VASP calculation (PBE) on a relaxed structure of TbHo2MgC.

* ΔH_f (0 K): -186.1 meV per atom
* SG: P4/mmm (123)

Cell: 5.048 4.928 4.928 Å, 90.00 90.00 90.00°
Fractional coordinates of all 5 atoms:
Tb: 0.500 0.000 0.000
Ho: 0.000 0.000 0.500
Ho: 0.000 0.500 0.000
Mg: 0.500 0.500 0.500
C: 0.000 0.000 0.000

# 3
VASP calculation (PBE) on a relaxed structure of K2TcAg.

* ΔH_f (0 K): 1085.1 meV per atom
* SG: C2/m (12)

Cell: 5.938 5.938 5.804 Å, 85.46 85.46 27.42°
Fractional coordinates of all 4 atoms:
Ag: 0.750 0.750 0.750
K: 0.000 0.000 0.001
K: 0.500 0.500 0.499
Tc: 0.250 0.250 0.250

# 4
VASP calculation (PBE) on a relaxed structure of Sm2ErTm8.

* ΔH_f (0 K): 178.8 meV per atom
* SG: C2/m (12)

Cell: 6.541 6.584 8.802 Å, 99.57 111.81 90.00°
Fractional coordinates of all 11 atoms:
Sm: 0.755 0.688 0.511
Sm: 0.245 0.312 0.489
Er: 0.000 0.000 0.000
Tm: 0.825 0.401 0.173
Tm: 0.653 0.599 0.827
Tm: 0.800 0.198 0.601
Tm: 0.200 0.802 0.399
Tm: 0.347 0.401 0.173
Tm: 0.175 0.599 0.827
Tm: 0.589 0.904 0.177
Tm: 0.411 0.096 0.823

# 5
VASP calculation (PBE) on a relaxed structure of AsPbW.

* ΔH_f (0 K): 1209.6 meV per atom
* SG: F-43m (216)

Cell: 4.582 4.582 4.582 Å, 60.00 60.00 60.00°
Fractional coordinates of all 3 atoms:
Pb: 0.000 0.000 0.000
As: 0.750 0.750 0.750
W: 0.500 0.500 0.500

# 6
VASP calculation (PBE) on a relaxed structure of Li2AsBrO3.

* electronic total energy: -4.9229 eV per atom
* SG: R-3m (166)

Cell: 7.691 7.691 7.691 Å, 44.72 44.72 44.72°
Fractional coordinates of all 14 atoms:
Li: 0.000 0.000 0.000
Li: 0.500 0.000 0.000
Li: 0.000 0.500 0.000
Li: 0.000 0.000 0.500
As: 0.423 0.423 0.423
As: 0.577 0.577 0.577
Br: 0.692 0.692 0.692
Br: 0.308 0.308 0.308
O: 0.230 0.723 0.723
O: 0.723 0.230 0.723
O: 0.723 0.723 0.230
O: 0.770 0.277 0.277
O: 0.277 0.770 0.277
O: 0.277 0.277 0.770

# 7
VASP calculation (PBE) on a relaxed structure of SnPbS2.

* electronic total energy: -4.2542 eV per atom
* SG: I-42d (122)

Cell: 6.571 6.571 8.057 Å, 65.93 65.93 90.00°
Fractional coordinates of all 8 atoms:
Pb: 0.000 0.000 0.000
Pb: 0.750 0.250 0.500
S: 0.615 0.125 0.250
S: 0.135 0.625 0.250
S: 0.375 0.385 0.750
S: 0.875 0.865 0.750
Sn: 0.500 0.500 0.000
Sn: 0.250 0.750 0.500

# 8
VASP calculation (PBE) on a relaxed structure of YHgAu3.

* ΔH_f (0 K): 241.1 meV per atom
* SG: Pm-3m (221)

Cell: 5.143 5.143 5.143 Å, 90.00 90.00 90.00°
Fractional coordinates of all 5 atoms:
Y: 0.500 0.500 0.500
Au: 0.000 0.500 0.000
Au: 0.000 0.000 0.500
Au: 0.500 0.000 0.000
Hg: 0.000 0.000 0.000